Run i
VASP calculation (meta-GGA SCAN) on a PBEsol-optimized structure of LiNi2Os.

Cell lengths 8.3380, 2.4853, 4.5012 Å; angles 90.00, 96.83, 90.00 degrees
Space group C2/m (No. 12)
Symmetry-distinct sites (fractional):
Li 0.0000 0.0000 0.0000 x2
Ni 0.2458 0.0000 0.7423 x4
Os 0.0000 0.5000 0.5000 x2

---

Run ii
VASP calculation (meta-GGA SCAN) on a PBEsol-optimized structure of LiNi2Os.

Cell lengths 2.5156, 4.1463, 4.4191 Å; angles 90.00, 90.00, 90.00 degrees
Space group Pmm2 (No. 25)
Symmetry-distinct sites (fractional):
Li 0.0000 0.0000 0.0000 x1
Ni 0.5000 0.0000 0.4853 x1
Ni 0.5000 0.5000 0.1275 x1
Os 0.0000 0.5000 0.6318 x1

---

Run iii
VASP calculation (meta-GGA SCAN) on a PBEsol-optimized structure of LiNi2Os.

Cell lengths 8.8916, 2.5183, 4.3358 Å; angles 90.00, 104.89, 90.00 degrees
Space group Cm (No. 8)
Symmetry-distinct sites (fractional):
Li 0.0000 0.0000 0.0000 x2
Ni 0.0283 0.5000 0.5086 x2
Ni 0.2425 0.0000 0.8600 x2
Os 0.2846 0.5000 0.3754 x2

---

Run iv
VASP calculation (meta-GGA SCAN) on a PBEsol-optimized structure of LiNi2Os.

Cell lengths 5.1021, 7.1902, 2.5140 Å; angles 90.00, 90.00, 90.00 degrees
Space group Cmmm (No. 65)
Symmetry-distinct sites (fractional):
Li 0.0000 0.0000 0.0000 x2
Ni 0.2500 0.2500 0.5000 x4
Os 0.0000 0.5000 0.0000 x2

---

Least stable of them? run i.

---

Run i
VASP calculation (meta-GGA SCAN) on a PBEsol-optimized structure of Li2NiPt.

Cell lengths 2.6067, 4.2203, 4.4856 Å; angles 90.00, 92.98, 90.00 degrees
Space group P2/m (No. 10)
Symmetry-distinct sites (fractional):
Li 0.2178 0.0000 0.2495 x2
Ni 0.0000 0.5000 0.5000 x1
Pt 0.5000 0.5000 0.0000 x1

---

Run ii
VASP calculation (meta-GGA SCAN) on a PBEsol-optimized structure of Li2NiPt.

Cell lengths 9.2488, 2.6440, 4.5141 Å; angles 90.00, 115.87, 90.00 degrees
Space group Cm (No. 8)
Symmetry-distinct sites (fractional):
Li 0.0000 0.0000 0.0000 x2
Li 0.2361 0.0000 0.9048 x2
Ni 0.4908 0.0000 0.4725 x2
Pt 0.2534 0.5000 0.4279 x2

---

Run iii
VASP calculation (meta-GGA SCAN) on a PBEsol-optimized structure of Li2NiPt.

Cell lengths 2.7055, 4.4488, 8.3949 Å; angles 90.00, 90.00, 90.00 degrees
Space group Cmmm (No. 65)
Symmetry-distinct sites (fractional):
Li 0.0000 0.0000 0.2420 x4
Ni 0.0000 0.5000 0.0000 x2
Pt 0.0000 0.5000 0.5000 x2

---

Least stable of them? run iii.

---

Run i
VASP calculation (meta-GGA SCAN) on a PBEsol-optimized structure of Li2NiPt.

Cell lengths 5.0560, 8.4450, 2.6125 Å; angles 90.00, 117.71, 90.00 degrees
Space group C2/m (No. 12)
Symmetry-distinct sites (fractional):
Li 0.2500 0.2500 0.0000 x4
Ni 0.0000 0.0000 0.5000 x2
Pt 0.0000 0.5000 0.5000 x2

---

Run ii
VASP calculation (meta-GGA SCAN) on a PBEsol-optimized structure of Li2NiPt.

Cell lengths 2.7133, 4.2016, 4.2945 Å; angles 90.00, 90.00, 90.00 degrees
Space group Pmmm (No. 47)
Symmetry-distinct sites (fractional):
Li 0.0000 0.0000 0.0000 x1
Li 0.5000 0.0000 0.5000 x1
Ni 0.0000 0.5000 0.5000 x1
Pt 0.5000 0.5000 0.0000 x1

---

Least stable of them? run i.

---

Run i
VASP calculation (meta-GGA SCAN) on a PBEsol-optimized structure of LiRe2Ni.

Cell lengths 3.5829, 3.5829, 7.8851 Å; angles 90.00, 90.00, 90.00 degrees
Space group I4/mmm (No. 139)
Symmetry-distinct sites (fractional):
Li 0.0000 0.0000 0.0000 x2
Re 0.0000 0.5000 0.2500 x4
Ni 0.0000 0.0000 0.5000 x2

---

Run ii
VASP calculation (meta-GGA SCAN) on a PBEsol-optimized structure of LiRe2Ni.

Cell lengths 4.1658, 4.1658, 5.9163 Å; angles 90.00, 90.00, 90.00 degrees
Space group I-4m2 (No. 119)
Symmetry-distinct sites (fractional):
Li 0.0000 0.0000 0.0000 x2
Re 0.0000 0.0000 0.5000 x2
Re 0.0000 0.5000 0.2500 x2
Ni 0.0000 0.5000 0.7500 x2

---

Run iii
VASP calculation (meta-GGA SCAN) on a PBEsol-optimized structure of LiRe2Ni.

Cell lengths 8.7040, 2.5325, 4.7375 Å; angles 90.00, 95.85, 90.00 degrees
Space group Cm (No. 8)
Symmetry-distinct sites (fractional):
Li 0.0000 0.0000 0.0000 x2
Re 0.2427 0.0000 0.7310 x2
Re 0.4835 0.0000 0.4904 x2
Ni 0.2536 0.5000 0.2108 x2

---

Least stable of them? run i.

---

Run i
VASP calculation (meta-GGA SCAN) on a PBEsol-optimized structure of LiReNi.

Cell lengths 5.4295, 5.4295, 5.4295 Å; angles 90.00, 90.00, 90.00 degrees
Space group F-43m (No. 216)
Symmetry-distinct sites (fractional):
Li 0.0000 0.0000 0.0000 x4
Re 0.0000 0.0000 0.5000 x4
Ni 0.2500 0.2500 0.7500 x4

---

Run ii
VASP calculation (meta-GGA SCAN) on a PBEsol-optimized structure of LiReNi.

Cell lengths 2.5143, 3.7446, 7.6442 Å; angles 90.00, 90.00, 90.00 degrees
Space group Imm2 (No. 44)
Symmetry-distinct sites (fractional):
Li 0.0000 0.0000 0.0000 x2
Re 0.0000 0.0000 0.3230 x2
Ni 0.0000 0.0000 0.6634 x2

---

Least stable of them? run i.

---

Run i
VASP calculation (meta-GGA SCAN) on a PBEsol-optimized structure of Li2NiRh.

Cell lengths 2.6066, 4.2406, 4.3274 Å; angles 90.00, 90.00, 90.00 degrees
Space group Pmm2 (No. 25)
Symmetry-distinct sites (fractional):
Li 0.0000 0.0000 0.0000 x1
Li 0.5000 0.5000 0.0891 x1
Ni 0.5000 0.0000 0.5078 x1
Rh 0.0000 0.5000 0.5815 x1

---

Run ii
VASP calculation (meta-GGA SCAN) on a PBEsol-optimized structure of Li2NiRh.

Cell lengths 8.6486, 2.5526, 4.3944 Å; angles 90.00, 101.46, 90.00 degrees
Space group C2/m (No. 12)
Symmetry-distinct sites (fractional):
Li 0.2453 0.0000 0.2482 x4
Ni 0.0000 0.5000 0.0000 x2
Rh 0.0000 0.0000 0.5000 x2

---

Run iii
VASP calculation (meta-GGA SCAN) on a PBEsol-optimized structure of Li2NiRh.

Cell lengths 2.6341, 4.3431, 8.4858 Å; angles 90.00, 90.00, 90.00 degrees
Space group Cmmm (No. 65)
Symmetry-distinct sites (fractional):
Li 0.0000 0.0000 0.2448 x4
Ni 0.0000 0.5000 0.0000 x2
Rh 0.0000 0.5000 0.5000 x2

---

Least stable of them? run iii.

---

Run i
VASP calculation (meta-GGA SCAN) on a PBEsol-optimized structure of Li2NiRh.

Cell lengths 2.5109, 4.2566, 4.4673 Å; angles 90.00, 92.46, 90.00 degrees
Space group P2/m (No. 10)
Symmetry-distinct sites (fractional):
Li 0.2193 0.0000 0.2490 x2
Ni 0.0000 0.5000 0.5000 x1
Rh 0.5000 0.5000 0.0000 x1

---

Run ii
VASP calculation (meta-GGA SCAN) on a PBEsol-optimized structure of Li2NiRh.

Cell lengths 5.7545, 5.7545, 5.7545 Å; angles 90.00, 90.00, 90.00 degrees
Space group F-43m (No. 216)
Symmetry-distinct sites (fractional):
Li 0.0000 0.0000 0.0000 x4
Li 0.2500 0.2500 0.2500 x4
Ni 0.2500 0.2500 0.7500 x4
Rh 0.0000 0.0000 0.5000 x4

---

Least stable of them? run ii.

---

Run i
VASP calculation (meta-GGA SCAN) on a PBEsol-optimized structure of Li2NiRh.

Cell lengths 2.6261, 4.2482, 4.2712 Å; angles 90.00, 90.00, 90.00 degrees
Space group Pmmm (No. 47)
Symmetry-distinct sites (fractional):
Li 0.0000 0.0000 0.0000 x1
Li 0.5000 0.0000 0.5000 x1
Ni 0.0000 0.5000 0.5000 x1
Rh 0.5000 0.5000 0.0000 x1

---

Run ii
VASP calculation (meta-GGA SCAN) on a PBEsol-optimized structure of Li2NiRh.

Cell lengths 3.4675, 3.4675, 8.0255 Å; angles 90.00, 90.00, 90.00 degrees
Space group I4/mmm (No. 139)
Symmetry-distinct sites (fractional):
Li 0.0000 0.5000 0.2500 x4
Ni 0.0000 0.0000 0.0000 x2
Rh 0.0000 0.0000 0.5000 x2

---

Run iii
VASP calculation (meta-GGA SCAN) on a PBEsol-optimized structure of Li2NiRh.

Cell lengths 2.5706, 2.5706, 25.3380 Å; angles 90.00, 90.00, 120.00 degrees
Space group R-3m (No. 166, hexagonal axes)
Symmetry-distinct sites (fractional):
Li 0.0000 0.0000 0.2482 x6
Ni 0.0000 0.0000 0.5000 x3
Rh 0.0000 0.0000 0.0000 x3

---

Run iv
VASP calculation (meta-GGA SCAN) on a PBEsol-optimized structure of Li2NiRh.

Cell lengths 9.2451, 2.5220, 4.6068 Å; angles 90.00, 116.19, 90.00 degrees
Space group Cm (No. 8)
Symmetry-distinct sites (fractional):
Li 0.0000 0.0000 0.0000 x2
Li 0.2376 0.0000 0.9219 x2
Ni 0.4925 0.0000 0.4779 x2
Rh 0.2566 0.5000 0.4427 x2

---

Least stable of them? run ii.

---

Run i
VASP calculation (meta-GGA SCAN) on a PBEsol-optimized structure of Li2NiRh.

Cell lengths 3.4696, 3.4696, 4.0077 Å; angles 90.00, 90.00, 90.00 degrees
Space group P4/mmm (No. 123)
Symmetry-distinct sites (fractional):
Li 0.0000 0.5000 0.0000 x2
Ni 0.0000 0.0000 0.5000 x1
Rh 0.5000 0.5000 0.5000 x1

---

Run ii
VASP calculation (meta-GGA SCAN) on a PBEsol-optimized structure of Li2NiRh.

Cell lengths 2.6153, 4.2802, 8.4891 Å; angles 90.00, 90.00, 90.00 degrees
Space group Immm (No. 71)
Symmetry-distinct sites (fractional):
Li 0.0000 0.0000 0.2413 x4
Ni 0.0000 0.5000 0.5000 x2
Rh 0.0000 0.5000 0.0000 x2

---

Least stable of them? run i.

---

Run i
VASP calculation (meta-GGA SCAN) on a PBEsol-optimized structure of LiNiRh.

Cell lengths 2.6486, 4.3604, 12.8758 Å; angles 90.00, 90.00, 90.00 degrees
Space group Fmm2 (No. 42)
Symmetry-distinct sites (fractional):
Li 0.0000 0.0000 0.0000 x4
Ni 0.0000 0.0000 0.3360 x4
Rh 0.0000 0.0000 0.6712 x4

---

Run ii
VASP calculation (meta-GGA SCAN) on a PBEsol-optimized structure of LiNiRh.

Cell lengths 5.4921, 5.4921, 5.4921 Å; angles 90.00, 90.00, 90.00 degrees
Space group F-43m (No. 216)
Symmetry-distinct sites (fractional):
Li 0.0000 0.0000 0.0000 x4
Ni 0.2500 0.2500 0.7500 x4
Rh 0.0000 0.0000 0.5000 x4

---

Least stable of them? run ii.

---

Run i
VASP calculation (meta-GGA SCAN) on a PBEsol-optimized structure of LiNiRu2.

Cell lengths 2.6004, 2.6004, 25.9858 Å; angles 90.00, 90.00, 120.00 degrees
Space group R-3m (No. 166, hexagonal axes)
Symmetry-distinct sites (fractional):
Li 0.0000 0.0000 0.0000 x3
Ni 0.0000 0.0000 0.5000 x3
Ru 0.0000 0.0000 0.2451 x6

---

Run ii
VASP calculation (meta-GGA SCAN) on a PBEsol-optimized structure of LiNiRu2.

Cell lengths 5.7219, 5.7219, 5.7219 Å; angles 90.00, 90.00, 90.00 degrees
Space group Fm-3m (No. 225)
Symmetry-distinct sites (fractional):
Li 0.0000 0.0000 0.0000 x4
Ni 0.0000 0.0000 0.5000 x4
Ru 0.2500 0.2500 0.2500 x8

---

Least stable of them? run ii.

---

Run i
VASP calculation (meta-GGA SCAN) on a PBEsol-optimized structure of SrLi2Ni.

Cell lengths 4.3114, 4.3114, 15.8896 Å; angles 90.00, 90.00, 120.00 degrees
Space group R-3m (No. 166, hexagonal axes)
Symmetry-distinct sites (fractional):
Sr 0.0000 0.0000 0.0000 x3
Li 0.0000 0.0000 0.1982 x6
Ni 0.0000 0.0000 0.5000 x3

---

Run ii
VASP calculation (meta-GGA SCAN) on a PBEsol-optimized structure of SrLi2Ni.

Cell lengths 4.1320, 4.1320, 20.1680 Å; angles 90.00, 90.00, 90.00 degrees
Space group I-42d (No. 122)
Symmetry-distinct sites (fractional):
Sr 0.0000 0.0000 0.0000 x4
Li 0.1737 0.2500 0.6250 x8
Ni 0.0000 0.0000 0.5000 x4

---

Least stable of them? run ii.